Entry w
PrAl2Ga: relaxed, PBE.

* crystal system: orthorhombic

Cell lengths 6.9645, 4.4119, 11.0920 Å; angles 90.00, 90.00, 90.00 degrees
Space group Amm2 (No. 38)
One atom of each set of equivalent atoms:
Pr 0.0000 0.0000 0.0000 [2 per cell]
Pr 0.5000 0.0000 0.1633 [2 per cell]
Al 0.0000 0.0000 0.2885 [2 per cell]
Al 0.3128 0.0000 0.4647 [4 per cell]
Al 0.5000 0.0000 0.8780 [2 per cell]
Ga 0.1879 0.0000 0.6972 [4 per cell]

---

Entry x
PrAl2Ga: relaxed, PBE.

* crystal system: trigonal

Cell lengths 10.2259, 10.2259, 9.4742 Å; angles 90.00, 90.00, 120.00 degrees
Space group R-3m (No. 166, hexagonal axes)
One atom of each set of equivalent atoms:
Pr 0.0000 0.0000 0.0000 [3 per cell]
Pr 0.0000 0.0000 0.3264 [6 per cell]
Al 0.0000 0.2663 0.5000 [18 per cell]
Ga 0.0000 0.5000 0.5000 [9 per cell]

---

entry w comes first in stability; the runner-up is 37.4 kJ/mol of atoms higher.

---

Entry w
Al2Ga2Pt: relaxed, PBE.

* crystal system: tetragonal

Cell lengths 6.5711, 6.5711, 4.0739 Å; angles 90.00, 90.00, 90.00 degrees
Space group P4/mbm (No. 127)
One atom of each set of equivalent atoms:
Al 0.1459 0.3541 0.0000 [4 per cell]
Ga 0.1630 0.6630 0.5000 [4 per cell]
Pt 0.0000 0.0000 0.0000 [2 per cell]

---

Entry x
Al2Ga2Pt: relaxed, PBE.

* crystal system: tetragonal

Cell lengths 3.4860, 3.4860, 14.4477 Å; angles 90.00, 90.00, 90.00 degrees
Space group I4/mmm (No. 139)
One atom of each set of equivalent atoms:
Al 0.0000 0.0000 0.0910 [4 per cell]
Ga 0.0000 0.5000 0.2500 [4 per cell]
Pt 0.0000 0.0000 0.5000 [2 per cell]

---

entry w comes first in stability; the runner-up is 14.1 kJ/mol of atoms higher.

---

Entry w
AlGaPt5: relaxed, PBE.

* crystal system: tetragonal

Cell lengths 3.9683, 3.9683, 7.1114 Å; angles 90.00, 90.00, 90.00 degrees
Space group P4/mmm (No. 123)
One atom of each set of equivalent atoms:
Al 0.0000 0.0000 0.0000 [1 per cell]
Ga 0.5000 0.5000 0.5000 [1 per cell]
Pt 0.0000 0.0000 0.5000 [1 per cell]
Pt 0.0000 0.5000 0.2219 [4 per cell]

---

Entry x
AlGaPt5: relaxed, PBE.

* crystal system: monoclinic

Cell lengths 8.6081, 9.0082, 6.8882 Å; angles 90.00, 121.55, 90.00 degrees
Space group C2/c (No. 15)
One atom of each set of equivalent atoms:
Al 0.0000 0.2022 0.2500 [4 per cell]
Ga 0.2500 0.2500 0.0000 [4 per cell]
Pt 0.0000 0.0697 0.7500 [4 per cell]
Pt 0.0557 0.3596 0.5886 [8 per cell]
Pt 0.2423 0.4051 0.3644 [8 per cell]

---

entry w comes first in stability; the runner-up is 5.0 kJ/mol of atoms higher.